Entry 1:
Material: Np2SiNi4As3
Method: DFT, PBE
State: optimized geometry

Geometry as POSCAR:
```
Np2SiNi4As3
1.0
4.0917 0.0000 0.0000
0.0000 4.0917 0.0000
0.0000 0.0000 9.4353
Np Si Ni As
2 1 4 3
direct
0.0000 0.5000 0.2488
0.5000 0.0000 0.7512
0.5000 0.5000 0.0000
0.0000 0.0000 0.5000
0.0000 0.5000 0.8823
0.5000 0.0000 0.1177
0.5000 0.5000 0.5000
0.0000 0.0000 0.0000
0.0000 0.5000 0.6354
0.5000 0.0000 0.3646
```

Calculated values
- Volume: 157.96 Å³/cell
- DOS at the Fermi energy: 21.27 states/eV/f.u.
- Total moment: 7.386 μB per formula unit
- Symmetry: P-4m2 (115)
- Energy: -7.358 eV/atom
- Uncorrected formation energy: -0.5200 eV/atom

Entry 2:
Material: LaNdTmTh2
Method: DFT, PBE
State: optimized geometry

Geometry as POSCAR:
```
LaNdTmTh2
1.0
3.3696 -7.8738 0.0000
3.3696 7.8738 0.0000
0.0000 0.0000 6.7539
La Nd Tm Th
2 2 2 4
direct
0.2443 0.7557 0.7500
0.7557 0.2443 0.2500
0.3484 0.6516 0.2500
0.6516 0.3484 0.7500
0.1497 0.8503 0.2500
0.8503 0.1497 0.7500
0.2473 0.2473 0.0000
0.2473 0.2473 0.5000
0.7527 0.7527 0.0000
0.7527 0.7527 0.5000
```

Calculated values
- Volume: 358.38 Å³/cell
- DOS at the Fermi energy: 7.82 states/eV/f.u.
- Total moment: 0.000 μB per formula unit
- Symmetry: Cmcm (63)
- Energy: -5.453 eV/atom
- ΔH_f (0 K): 0.35 eV/atom

Entry 3:
Material: PdS2NO
Method: DFT, PBE
State: optimized geometry

Geometry as POSCAR:
```
PdS2NO
1.0
4.2168 0.0000 0.0000
0.0000 4.2168 0.0000
0.0000 0.0000 3.7360
Pd S N O
1 2 1 1
direct
0.0000 0.0000 0.0000
0.0000 0.5000 0.5000
0.5000 0.0000 0.5000
0.5000 0.5000 0.0000
0.5000 0.5000 0.5000
```

Calculated values
- Volume: 66.43 Å³/cell
- ΔE to the lowest computed polymorph: 0.000 eV/atom
- DOS at the Fermi energy: 2.60 states/eV/f.u.
- Total moment: 2.089 μB per formula unit
- Symmetry: P4/mmm (123)
- Energy: -3.868 eV/atom
- Uncorrected formation energy: 1.4786 eV/atom

> Number 3 is which compound?

PdS2NO